Pt2WBr | PBE | optimized geometry

Properties
Total DFT energy (no corrections) = -6.095 eV/atom
SG = No. 71
Volume = 141 Å³ per cell
ΔE to the lowest computed polymorph = 0.531 eV per atom

a = 2.8772 Å, b = 4.7632 Å, c = 10.2740 Å
α = 90.00°, β = 90.00°, γ = 90.00°
Fractional coordinates of all 8 atoms:
Pt: 0.0000 0.0000 0.2225
Pt: 0.0000 0.0000 0.7775
Pt: 0.5000 0.5000 0.2775
Pt: 0.5000 0.5000 0.7225
W: 0.0000 0.5000 0.5000
W: 0.5000 0.0000 0.0000
Br: 0.0000 0.5000 0.0000
Br: 0.5000 0.0000 0.5000


PtWBr2 | PBE | optimized geometry

Properties
Total DFT energy (no corrections) = -4.276 eV/atom
SG = No. 65
Volume = 148 Å³ per cell
ΔE to the lowest computed polymorph = 1.200 eV per atom

a = 6.2026 Å, b = 7.7978 Å, c = 3.0623 Å
α = 90.00°, β = 90.00°, γ = 90.00°
Fractional coordinates of all 8 atoms:
Pt: 0.0000 0.0000 0.0000
Pt: 0.5000 0.5000 0.0000
W: 0.0000 0.5000 0.0000
W: 0.5000 0.0000 0.0000
Br: 0.2500 0.2500 0.5000
Br: 0.2500 0.7500 0.5000
Br: 0.7500 0.2500 0.5000
Br: 0.7500 0.7500 0.5000


PtWBr2 | PBE | optimized geometry

Properties
Total DFT energy (no corrections) = -4.939 eV/atom
SG = No. 44
Volume = 184 Å³ per cell
ΔE to the lowest computed polymorph = 0.538 eV per atom

a = 3.0193 Å, b = 4.9041 Å, c = 12.4364 Å
α = 90.00°, β = 90.00°, γ = 90.00°
Fractional coordinates of all 8 atoms:
Pt: 0.0000 0.0000 0.0000
Pt: 0.5000 0.5000 0.5000
W: 0.0000 0.5000 0.6685
W: 0.5000 0.0000 0.1685
Br: 0.0000 0.0000 0.3431
Br: 0.0000 0.5000 0.1604
Br: 0.5000 0.0000 0.6604
Br: 0.5000 0.5000 0.8431


PtWBr | PBE | optimized geometry

Properties
Total DFT energy (no corrections) = -5.472 eV/atom
SG = No. 216
Volume = 255 Å³ per cell
ΔE to the lowest computed polymorph = 1.046 eV per atom

a = 6.3393 Å, b = 6.3393 Å, c = 6.3393 Å
α = 90.00°, β = 90.00°, γ = 90.00°
Fractional coordinates of all 12 atoms:
Pt: 0.0000 0.0000 0.0000
Pt: 0.0000 0.5000 0.5000
Pt: 0.5000 0.0000 0.5000
Pt: 0.5000 0.5000 0.0000
W: 0.2500 0.2500 0.7500
W: 0.2500 0.7500 0.2500
W: 0.7500 0.2500 0.2500
W: 0.7500 0.7500 0.7500
Br: 0.2500 0.2500 0.2500
Br: 0.2500 0.7500 0.7500
Br: 0.7500 0.2500 0.7500
Br: 0.7500 0.7500 0.2500


Question: ΔE to the lowest computed polymorph of number 4 (PtWBr)?
Answer: 1.046 eV per atom


Question: Number 1 is which compound?
Answer: Pt2WBr


Question: What is the formula in the first record?
Answer: Pt2WBr